1.
This record from Alexandria describes an optimized crystal structure of CaMn2GaO4. The functional is GGA+U.

abc: 4.6188 4.6188 9.2286
angles: 90.00 90.00 90.00
Fractional coordinates of all 16 atoms:
Ca  0.0000  0.0000  0.0000
Ca  0.5000  0.5000  0.5000
Mn  0.0000  0.0000  0.5000
Mn  0.0000  0.5000  0.2500
Mn  0.5000  0.0000  0.7500
Mn  0.5000  0.5000  0.0000
Ga  0.0000  0.5000  0.7500
Ga  0.5000  0.0000  0.2500
O  0.0000  0.0000  0.2594
O  0.0000  0.0000  0.7406
O  0.0000  0.5000  0.0092
O  0.0000  0.5000  0.4908
O  0.5000  0.0000  0.5092
O  0.5000  0.0000  0.9908
O  0.5000  0.5000  0.2406
O  0.5000  0.5000  0.7594

Values from the calculation:
The value obtained for the density of states at the Fermi level is 2.87 states/eV per cell. As for the total energy: -6.747 eV per atom.

=====

2.
This record from Alexandria describes an optimized crystal structure of Ca2MnGaO5. The functional is GGA+U.

abc: 6.4435 6.4435 10.9441
angles: 90.00 90.00 151.04
Fractional coordinates of all 18 atoms:
Ca  0.0836  0.9164  0.5000
Ca  0.1517  0.8483  0.1249
Ca  0.8483  0.1517  0.6249
Ca  0.9164  0.0836  0.0000
Mn  0.4639  0.5361  0.2811
Mn  0.5361  0.4639  0.7811
Ga  0.2254  0.7746  0.8635
Ga  0.7746  0.2254  0.3635
O  0.0702  0.9298  0.8879
O  0.2632  0.7368  0.4908
O  0.3085  0.6915  0.2457
O  0.3821  0.6179  0.8309
O  0.4924  0.5076  0.6138
O  0.5076  0.4924  0.1138
O  0.6179  0.3821  0.3309
O  0.6915  0.3085  0.7457
O  0.7368  0.2632  0.9908
O  0.9298  0.0702  0.3879

Values from the calculation:
The value obtained for the excess energy over the best structure of this formula in the dataset is 0.108 eV/atom. As for the total energy: -6.591 eV per atom.

=====

3.
This record from Alexandria describes an optimized crystal structure of Sr4CaMn2Ga2O10. The functional is GGA+U.

abc: 9.3849 9.3433 5.8392
angles: 72.22 71.45 36.33
Fractional coordinates of all 19 atoms:
Sr  0.0920  0.6007  0.9080
Sr  0.3993  0.9080  0.6007
Sr  0.6007  0.0920  0.3993
Sr  0.9080  0.3993  0.0920
Ca  0.0000  0.0000  0.0000
Mn  0.0000  0.5000  0.5000
Mn  0.5000  0.0000  0.0000
Ga  0.3353  0.6647  0.3353
Ga  0.6647  0.3353  0.6647
O  0.1149  0.7033  0.2967
O  0.2500  0.2500  0.2500
O  0.2590  0.2590  0.7410
O  0.2967  0.8851  0.1149
O  0.3296  0.6704  0.6704
O  0.6704  0.3296  0.3296
O  0.7033  0.1149  0.8851
O  0.7410  0.7410  0.2590
O  0.7500  0.7500  0.7500
O  0.8851  0.2967  0.7033

Values from the calculation:
The value obtained for the excess energy over the best structure of this formula in the dataset is 0.000 eV/atom. The value obtained for the density of states at the Fermi level is 1.57 states/eV per cell. As for the total energy: -6.427 eV per atom.

=====

4.
This record from Alexandria describes an optimized crystal structure of Sr4CaMn2Ga2O11. The functional is GGA+U.

abc: 6.0966 6.0966 8.2940
angles: 106.42 106.42 96.27
Fractional coordinates of all 20 atoms:
Sr  0.1777  0.1777  0.2579
Sr  0.3351  0.3055  0.6939
Sr  0.6945  0.6649  0.3061
Sr  0.8223  0.8223  0.7421
Ca  0.3215  0.6785  0.0000
Mn  0.2366  0.7634  0.5000
Mn  0.7626  0.2374  0.5000
Ga  0.5278  0.1078  0.0120
Ga  0.8922  0.4722  0.9880
O  0.0166  0.4823  0.4599
O  0.1148  0.6880  0.2115
O  0.3120  0.8852  0.7885
O  0.3692  0.3436  0.0543
O  0.5177  0.9834  0.5401
O  0.5476  0.4524  0.5000
O  0.5493  0.0190  0.2139
O  0.6564  0.6308  0.9457
O  0.8275  0.1725  0.0000
O  0.9807  0.0193  0.5000
O  0.9810  0.4507  0.7861

Values from the calculation:
The value obtained for the excess energy over the best structure of this formula in the dataset is 0.013 eV/atom. As for the total energy: -6.375 eV per atom.

=====

5.
This record from Alexandria describes an optimized crystal structure of Sr4CaMn2Ga2O11. The functional is GGA+U.

abc: 5.5410 5.5419 9.3796
angles: 80.01 80.14 85.42
Fractional coordinates of all 20 atoms:
Sr  0.0000  0.0000  0.0000
Sr  0.0896  0.0941  0.5838
Sr  0.5242  0.5247  0.9768
Sr  0.6522  0.6574  0.5777
Ca  0.4265  0.4239  0.3590
Mn  0.4479  0.9653  0.2010
Mn  0.9661  0.4473  0.2010
Ga  0.0695  0.5717  0.7723
Ga  0.5701  0.0711  0.7721
O  0.0629  0.4632  0.9766
O  0.1764  0.1752  0.2885
O  0.1781  0.5744  0.5647
O  0.2287  0.6877  0.1917
O  0.3212  0.8202  0.7693
O  0.4641  0.0621  0.9772
O  0.5775  0.1746  0.5628
O  0.6887  0.2284  0.1914
O  0.7068  0.7061  0.2443
O  0.8145  0.3251  0.7686
O  0.8190  0.8204  0.7741

Values from the calculation:
The value obtained for the excess energy over the best structure of this formula in the dataset is 0.000 eV/atom. The value obtained for the density of states at the Fermi level is 4.71 states/eV per cell. As for the total energy: -6.388 eV per atom.

=====

6.
This record from Alexandria describes an optimized crystal structure of Sr4CaMn2Ga2O10. The functional is GGA+U.

abc: 9.2876 9.2876 5.8867
angles: 106.93 106.93 128.87
Fractional coordinates of all 19 atoms:
Sr  0.0192  0.4143  0.4667
Sr  0.1988  0.1988  0.3914
Sr  0.5857  0.9808  0.5333
Sr  0.8012  0.8012  0.6086
Ca  0.5889  0.4111  0.0000
Mn  0.1720  0.3800  0.0077
Mn  0.6200  0.8280  0.9923
Ga  0.0626  0.7253  0.1811
Ga  0.2747  0.9374  0.8189
O  0.0556  0.5258  0.9826
O  0.2868  0.1406  0.0206
O  0.3626  0.0422  0.5731
O  0.4008  0.5992  0.5000
O  0.4576  0.5424  0.0000
O  0.4742  0.9444  0.0174
O  0.8594  0.7132  0.9794
O  0.8960  0.1040  0.0000
O  0.9031  0.0969  0.5000
O  0.9578  0.6374  0.4269

Values from the calculation:
The value obtained for the excess energy over the best structure of this formula in the dataset is 0.046 eV/atom. The value obtained for the density of states at the Fermi level is 0.54 states/eV per cell. As for the total energy: -6.380 eV per atom.

=====

7.
This record from Alexandria describes an optimized crystal structure of SrCaMnGaO5. The functional is GGA+U.

abc: 8.6930 8.6930 5.6607
angles: 108.65 108.65 36.52
Fractional coordinates of all 18 atoms:
Sr  0.1148  0.1148  0.0940
Sr  0.8852  0.8852  0.9060
Ca  0.3831  0.4028  0.3670
Ca  0.5972  0.6169  0.6330
Mn  0.0046  0.9954  0.5000
Mn  0.5048  0.4952  0.0000
Ga  0.2179  0.2820  0.6808
Ga  0.7180  0.7821  0.3192
O  0.1986  0.0892  0.6936
O  0.2470  0.7322  0.7393
O  0.2678  0.7530  0.2607
O  0.3751  0.3331  0.9306
O  0.3823  0.1386  0.3892
O  0.6669  0.6249  0.0694
O  0.7386  0.2415  0.7325
O  0.7585  0.2614  0.2675
O  0.8614  0.6177  0.6108
O  0.9108  0.8014  0.3064

Values from the calculation:
The value obtained for the density of states at the Fermi level is 1.10 states/eV per cell. As for the total energy: -6.641 eV per atom.

=====

8.
This record from Alexandria describes an optimized crystal structure of Sr4CaMn2Ga2O10. The functional is GGA+U.

abc: 6.0401 6.1507 8.7961
angles: 104.01 96.75 101.83
Fractional coordinates of all 19 atoms:
Sr  0.0641  0.1492  0.2120
Sr  0.2713  0.4586  0.6310
Sr  0.7287  0.5414  0.3690
Sr  0.9359  0.8508  0.7880
Ca  0.5000  0.5000  0.0000
Mn  0.0000  0.5000  0.0000
Mn  0.5000  0.0000  0.0000
Ga  0.3167  0.8263  0.4242
Ga  0.6833  0.1737  0.5758
O  0.0911  0.7519  0.5358
O  0.1741  0.2153  0.9462
O  0.2688  0.7075  0.8991
O  0.3173  0.5941  0.2455
O  0.4008  0.1455  0.4249
O  0.5992  0.8545  0.5751
O  0.6827  0.4059  0.7545
O  0.7312  0.2925  0.1009
O  0.8259  0.7847  0.0538
O  0.9089  0.2481  0.4642

Values from the calculation:
The value obtained for the excess energy over the best structure of this formula in the dataset is 0.040 eV/atom. As for the total energy: -6.387 eV per atom.

=====

9.
This record from Alexandria describes an optimized crystal structure of Sr4CaMn2Ga2O10. The functional is GGA+U.

abc: 6.0473 6.0473 9.2623
angles: 104.82 104.82 77.74
Fractional coordinates of all 19 atoms:
Sr  0.0000  0.0000  0.0000
Sr  0.5009  0.5009  0.5978
Sr  0.6046  0.6046  0.0263
Sr  0.7176  0.7176  0.4058
Ca  0.1355  0.1355  0.3775
Mn  0.1402  0.5960  0.1993
Mn  0.5960  0.1402  0.1993
Ga  0.0549  0.4018  0.7734
Ga  0.4018  0.0549  0.7734
O  0.0830  0.0830  0.7757
O  0.3539  0.8538  0.2038
O  0.3794  0.3794  0.3302
O  0.3849  0.3849  0.7912
O  0.4462  0.9111  0.5803
O  0.5749  0.9839  0.9542
O  0.8538  0.3539  0.2038
O  0.8836  0.8836  0.2611
O  0.9111  0.4462  0.5803
O  0.9839  0.5749  0.9542

Values from the calculation:
The value obtained for the excess energy over the best structure of this formula in the dataset is 0.011 eV/atom. As for the total energy: -6.415 eV per atom.

=====

10.
This record from Alexandria describes an optimized crystal structure of Sr4CaMn2Ga2O11. The functional is GGA+U.

abc: 5.7646 5.8868 8.5797
angles: 106.56 102.06 92.53
Fractional coordinates of all 20 atoms:
Sr  0.1126  0.1118  0.2326
Sr  0.2910  0.3090  0.6663
Sr  0.7090  0.6910  0.3337
Sr  0.8874  0.8882  0.7674
Ca  0.5000  0.5000  0.0000
Mn  0.0000  0.5000  0.0000
Mn  0.5000  0.0000  0.0000
Ga  0.2530  0.7196  0.4913
Ga  0.7470  0.2804  0.5087
O  0.0000  0.0000  0.5000
O  0.0000  0.5000  0.5000
O  0.1958  0.6549  0.2443
O  0.2152  0.7023  0.9257
O  0.2407  0.2002  0.9772
O  0.4343  0.9304  0.6977
O  0.5000  0.5000  0.5000
O  0.5657  0.0696  0.3023
O  0.7593  0.7998  0.0228
O  0.7848  0.2977  0.0743
O  0.8042  0.3451  0.7557

Values from the calculation:
The value obtained for the excess energy over the best structure of this formula in the dataset is 0.124 eV/atom. The value obtained for the density of states at the Fermi level is 1.35 states/eV per cell. As for the total energy: -6.264 eV per atom.

=====

Copy entry 10 word for word.
This record from Alexandria describes an optimized crystal structure of Sr4CaMn2Ga2O11. The functional is GGA+U.

abc: 5.7646 5.8868 8.5797
angles: 106.56 102.06 92.53
Fractional coordinates of all 20 atoms:
Sr  0.1126  0.1118  0.2326
Sr  0.2910  0.3090  0.6663
Sr  0.7090  0.6910  0.3337
Sr  0.8874  0.8882  0.7674
Ca  0.5000  0.5000  0.0000
Mn  0.0000  0.5000  0.0000
Mn  0.5000  0.0000  0.0000
Ga  0.2530  0.7196  0.4913
Ga  0.7470  0.2804  0.5087
O  0.0000  0.0000  0.5000
O  0.0000  0.5000  0.5000
O  0.1958  0.6549  0.2443
O  0.2152  0.7023  0.9257
O  0.2407  0.2002  0.9772
O  0.4343  0.9304  0.6977
O  0.5000  0.5000  0.5000
O  0.5657  0.0696  0.3023
O  0.7593  0.7998  0.0228
O  0.7848  0.2977  0.0743
O  0.8042  0.3451  0.7557

Values from the calculation:
The value obtained for the excess energy over the best structure of this formula in the dataset is 0.124 eV/atom. The value obtained for the density of states at the Fermi level is 1.35 states/eV per cell. As for the total energy: -6.264 eV per atom.